The following is a PBE calculation of a relaxed NaAlPb crystal, from Alexandria.

ΔH_f (0 K) (eV/f.u.): 0.09
Space group: P1, No. 1
Crystal system: triclinic
Total moment (μB/cell): 0.0
ρ (Mg/m³): 5.2

a = 6.2126 Å, b = 6.2216 Å, c = 4.8323 Å
α = 69.46°, β = 69.38°, γ = 87.87°
Positions (direct):
Pb: 0.1254 0.9760 0.7540
Pb: 0.3631 0.7381 0.2539
Na: 0.1081 0.3746 0.0469
Na: 0.7620 0.7191 0.5479
Al: 0.6705 0.1540 0.8126
Al: 0.5416 0.2840 0.3123